PBE-GGA LiAcSO, relaxed; uncorrected energy = -49.8 eV/cell; ΔE_f (raw) = -2445 meV/atom
1.0
-1.608 -3.292 1.920
-0.154 -2.026 -3.603
8.235 -3.184 1.437
Li Ac S O
2 2 2 2
direct
0.500 0.500 0.000
0.000 0.000 0.000
0.500 0.000 0.648
0.000 0.500 0.352
0.000 0.500 0.846
0.500 0.000 0.154
0.000 0.000 0.500
0.500 0.500 0.500